# 1
VASP calculation (PBE) on La3CdGa2 after structural relaxation.

For the calculated formation energy, the calculation gives -11.43 kcal/mol of atoms. The space-group type is P4/mmm (123).

a b c (Å): 3.7643 3.7643 11.8270
angles (deg): 90.00 90.00 90.00
Fractional positions:
La (0.0000, 0.0000, 0.0000)
La (0.0000, 0.0000, 0.3178)
La (0.0000, 0.0000, 0.6822)
Cd (0.5000, 0.5000, 0.5000)
Ga (0.5000, 0.5000, 0.1641)
Ga (0.5000, 0.5000, 0.8359)

---

# 2
VASP calculation (PBE) on Ca2YAu4 after structural relaxation.

For the calculated formation energy, the calculation gives -15.19 kcal/mol of atoms. The space-group type is I4/mmm (139).

a b c (Å): 7.5612 7.5612 7.5612
angles (deg): 139.89 139.89 58.02
Fractional positions:
Ca (0.2267, 0.2267, 0.0000)
Ca (0.7733, 0.7733, 0.0000)
Y (0.5000, 0.5000, 0.0000)
Au (0.1146, 0.6146, 0.5000)
Au (0.3854, 0.8854, 0.5000)
Au (0.6146, 0.1146, 0.5000)
Au (0.8854, 0.3854, 0.5000)

---

# 3
VASP calculation (PBE) on Tl2In7Hg2 after structural relaxation.

For the calculated formation energy, the calculation gives 0.57 kcal/mol of atoms. The space-group type is C2/m (12).

a b c (Å): 5.8315 5.8315 9.5194
angles (deg): 91.69 91.69 107.23
Fractional positions:
Tl (0.2073, 0.7927, 0.0000)
Tl (0.7927, 0.2073, 0.0000)
In (0.0614, 0.6743, 0.6435)
In (0.2228, 0.2228, 0.7659)
In (0.3257, 0.9386, 0.3565)
In (0.5000, 0.5000, 0.5000)
In (0.6743, 0.0614, 0.6435)
In (0.7772, 0.7772, 0.2341)
In (0.9386, 0.3257, 0.3565)
Hg (0.3462, 0.3462, 0.1418)
Hg (0.6538, 0.6538, 0.8582)

---

# 4
VASP calculation (PBE) on CsTiI5 after structural relaxation.

As for the formation energy from raw total energies: -922 meV per atom. The space-group type is Imm2 (44).

a b c (Å): 8.4489 8.4489 8.4489
angles (deg): 112.49 89.88 128.29
Fractional positions:
Cs (0.0000, 0.0000, 0.0000)
Ti (0.5121, 0.0121, 0.5000)
I (0.1580, 0.6580, 0.5000)
I (0.4981, 0.1910, 0.3071)
I (0.5156, 0.3085, 0.7929)
I (0.5156, 0.7227, 0.2071)
I (0.8839, 0.1910, 0.6929)

---

# 5
VASP calculation (PBE) on PrSmSiI after structural relaxation.

As for the formation energy from raw total energies: -930 meV per atom. The space-group type is R3m (160).

a b c (Å): 8.2277 8.2277 8.2277
angles (deg): 30.14 30.14 30.14
Fractional positions:
Pr (0.0000, 0.0000, 0.0000)
Sm (0.7980, 0.7980, 0.7980)
Si (0.4018, 0.4018, 0.4018)
I (0.2289, 0.2289, 0.2289)

---

# 6
VASP calculation (PBE) on FeIr2S after structural relaxation.

As for the formation energy from raw total energies: 541 meV per atom. The space-group type is I-42d (122).

a b c (Å): 6.3847 6.3847 6.3847
angles (deg): 129.43 129.43 74.32
Fractional positions:
Fe (0.0000, 0.0000, 0.0000)
Fe (0.7500, 0.2500, 0.5000)
Ir (0.1523, 0.6250, 0.0273)
Ir (0.3750, 0.4023, 0.5273)
Ir (0.5977, 0.1250, 0.9727)
Ir (0.8750, 0.8477, 0.4727)
S (0.2500, 0.7500, 0.5000)
S (0.5000, 0.5000, 0.0000)

---

# 7
VASP calculation (PBE) on NaLi2Ga after structural relaxation.

For the calculated formation energy, the calculation gives 1.33 kcal/mol of atoms. The space-group type is R3m (160).

a b c (Å): 7.8828 7.8828 7.8828
angles (deg): 27.90 27.90 27.90
Fractional positions:
Na (0.0000, 0.0000, 0.0000)
Li (0.5654, 0.5654, 0.5654)
Li (0.7717, 0.7717, 0.7717)
Ga (0.1692, 0.1692, 0.1692)

---

# 8
VASP calculation (PBE) on Y2TlSb after structural relaxation.

As for the formation energy from raw total energies: -450 meV per atom. The space-group type is I-42d (122).

a b c (Å): 6.8224 6.8224 6.8224
angles (deg): 105.41 105.41 117.94
Fractional positions:
Y (0.1189, 0.6250, 0.9939)
Y (0.3750, 0.3689, 0.4939)
Y (0.6311, 0.1250, 0.0061)
Y (0.8750, 0.8811, 0.5061)
Tl (0.2500, 0.7500, 0.5000)
Tl (0.5000, 0.5000, 0.0000)
Sb (0.0000, 0.0000, 0.0000)
Sb (0.7500, 0.2500, 0.5000)

---

# 9
VASP calculation (PBE) on EuGdZnSi after structural relaxation.

As for the formation energy from raw total energies: -408 meV per atom. The space-group type is F-43m (216).

a b c (Å): 5.1137 5.1137 5.1137
angles (deg): 60.00 60.00 60.00
Fractional positions:
Eu (0.0000, 0.0000, 0.0000)
Gd (0.5000, 0.5000, 0.5000)
Zn (0.2500, 0.2500, 0.2500)
Si (0.7500, 0.7500, 0.7500)

---

# 10
VASP calculation (PBE) on Nd2Al3Hg after structural relaxation.

For the calculated formation energy, the calculation gives -10.91 kcal/mol of atoms. The space-group type is Pmm2 (25).

a b c (Å): 3.7697 4.6571 8.0848
angles (deg): 90.00 90.00 90.00
Fractional positions:
Nd (0.0000, 0.0000, 0.0000)
Nd (0.0000, 0.5000, 0.4865)
Al (0.5000, 0.0000, 0.3264)
Al (0.5000, 0.0000, 0.6566)
Al (0.5000, 0.5000, 0.1629)
Hg (0.5000, 0.5000, 0.8257)

---

# 11
VASP calculation (PBE) on LaDyHo4 after structural relaxation.

For the calculated formation energy, the calculation gives 6.35 kcal/mol of atoms. The space-group type is F-43m (216).

a b c (Å): 6.6075 6.6075 6.6075
angles (deg): 60.00 60.00 60.00
Fractional positions:
La (0.0000, 0.0000, 0.0000)
Dy (0.7500, 0.7500, 0.7500)
Ho (0.3758, 0.3758, 0.3758)
Ho (0.3758, 0.3758, 0.8727)
Ho (0.3758, 0.8727, 0.3758)
Ho (0.8727, 0.3758, 0.3758)

---

# 12
VASP calculation (PBE) on Ba2SrTa after structural relaxation.

For the calculated formation energy, the calculation gives 22.05 kcal/mol of atoms. The space-group type is Fm-3m (225).

a b c (Å): 6.1223 6.1223 6.1223
angles (deg): 60.00 60.00 60.00
Fractional positions:
Ba (0.2500, 0.2500, 0.2500)
Ba (0.7500, 0.7500, 0.7500)
Sr (0.0000, 0.0000, 0.0000)
Ta (0.5000, 0.5000, 0.5000)

---

Calculated magnetization, 0.00; 0.00; 0.00; 0.00; 0.00; 3.24; 0.00; 0.00; 14.52; 0.00; 1.35; 3.28 μB/f.u. (same order as the records).